(1)
# LaTaNi2

LaTaNi2 after structural relaxation (PBE, Alexandria).

Results
crystal system	tetragonal
space group	P4/mmm

abc: 4.8058 4.8058 3.0264
angles: 90.00 90.00 90.00
Atoms (fractional coordinates):
La 0.0000 0.0000 0.0000
Ta 0.5000 0.5000 0.0000
Ni 0.0000 0.5000 0.5000
Ni 0.5000 0.0000 0.5000

(2)
# LaTa2Ni

LaTa2Ni after structural relaxation (PBE, Alexandria).

Results
crystal system	orthorhombic
space group	Immm

abc: 6.2748 6.2748 6.2748
angles: 152.44 135.35 53.28
Atoms (fractional coordinates):
La 0.0000 0.0000 0.0000
Ta 0.2890 0.7890 0.5000
Ta 0.7110 0.2110 0.5000
Ni 0.5000 0.5000 0.0000

(3)
# LaTa2Ni

LaTa2Ni after structural relaxation (PBE, Alexandria).

Results
crystal system	tetragonal
space group	P4/mmm

abc: 4.7954 4.7954 3.2287
angles: 90.00 90.00 90.00
Atoms (fractional coordinates):
La 0.0000 0.0000 0.0000
Ta 0.0000 0.5000 0.5000
Ta 0.5000 0.0000 0.5000
Ni 0.5000 0.5000 0.0000

(4)
# LaTaNi2

LaTaNi2 after structural relaxation (PBE, Alexandria).

Results
crystal system	orthorhombic
space group	Immm

abc: 4.7745 4.7745 4.7745
angles: 126.54 113.80 90.07
Atoms (fractional coordinates):
La 0.0000 0.0000 0.0000
Ta 0.5000 0.5000 0.0000
Ni 0.2972 0.7972 0.5000
Ni 0.7028 0.2028 0.5000

no.,DOS(E_F) (states/eV/atom),final energy (eV/cell)
1,0.877,-28.04
2,1.245,-33.46
3,1.044,-31.75
4,0.995,-27.78